[1]
Below is NdYPt10 after structural relaxation, with properties calculated at the PBE level.

Output
- N(E_F) (states/eV per cell) = 9.4
- SG = Pmmm, No. 47
- formation energy (kJ/mol of atoms) = -67.7
- M_tot (μB/f.u.) = 0.0

Cell lengths 4.4522, 5.4028, 9.3092 Å; angles 90.00, 90.00, 90.00 degrees
Fractional positions:
Pt (0.0000, 0.0000, 0.6641)
Pt (0.5000, 0.2505, 0.2513)
Pt (0.5000, 0.2505, 0.7487)
Pt (0.0000, 0.0000, 0.3359)
Pt (0.5000, 0.7495, 0.7487)
Pt (0.0000, 0.5000, 0.8300)
Pt (0.5000, 0.5000, 0.0000)
Pt (0.5000, 0.0000, 0.5000)
Pt (0.0000, 0.5000, 0.1700)
Pt (0.5000, 0.7495, 0.2513)
Y (0.0000, 0.5000, 0.5000)
Nd (0.0000, 0.0000, 0.0000)

[2]
Below is K4InCl5 after structural relaxation, with properties calculated at the PBE level.

Output
- N(E_F) (states/eV per cell) = 0.0
- SG = I4/m, No. 87
- formation energy from raw total energies (eV per atom) = -1.729
- energy relative to the lowest polymorph listed for this composition (eV/atom) = 0.000
- M_tot (μB/f.u.) = 0.0

Cell lengths 6.3873, 7.8342, 7.8342 Å; angles 80.43, 65.94, 65.94 degrees
Fractional positions:
Cl (0.5015, 0.0000, 0.0000)
Cl (0.1018, 0.5959, 0.2024)
Cl (0.9001, 0.4041, 0.7976)
Cl (0.6977, 0.2024, 0.4041)
Cl (0.3042, 0.7976, 0.5959)
In (0.0015, 0.0000, 0.0000)
K (0.6029, 0.5983, 0.1976)
K (0.8005, 0.8024, 0.5983)
K (0.2012, 0.1976, 0.4017)
K (0.3988, 0.4017, 0.8024)

[3]
Below is GaReO3 after structural relaxation, with properties calculated at the PBE level.

Output
- N(E_F) (states/eV per cell) = 2.8
- SG = Pm-3m, No. 221
- formation energy from raw total energies (eV per atom) = -0.124
- M_tot (μB/f.u.) = 4.0

Cell lengths 3.7846, 3.7846, 3.7846 Å; angles 90.00, 90.00, 90.00 degrees
Each line ends with the local moment (μB).
Fractional positions:
O (0.0000, 0.5000, 0.0000)  0.02
O (0.5000, 0.0000, 0.0000)  0.05
O (0.0000, 0.0000, 0.5000)  0.07
Re (0.5000, 0.5000, 0.5000)  3.41
Ga (0.0000, 0.0000, 0.0000)  0.00

[4]
Below is TaMnSb2 after structural relaxation, with properties calculated at the PBE level.

Output
- N(E_F) (states/eV per cell) = 3.0
- SG = R-3m, No. 166
- formation energy from raw total energies (eV per atom) = 0.292
- energy relative to the lowest polymorph listed for this composition (eV/atom) = 0.247
- M_tot (μB/f.u.) = 4.5

Cell lengths 8.2834, 8.2834, 8.2834 Å; angles 24.47, 24.47, 24.47 degrees
Each line ends with the local moment (μB).
Fractional positions:
Sb (0.0008, 0.0008, 0.0008)  -0.02
Sb (0.4992, 0.4992, 0.4992)  -0.02
Mn (0.7500, 0.7500, 0.7500)  3.85
Ta (0.2500, 0.2500, 0.2500)  0.30